Below is a relaxed structure of CaGdPb2, with properties calculated at the PBE-GGA level.

It has space group P4/mmm (No. 123), with a = 5.157 Å, b = 5.157 Å, c = 4.433 Å, α = 90.00°, β = 90.00° and γ = 90.00°. Symmetry generates all atoms from Ca at (0.000, 0.000, 0.000), Gd at (0.500, 0.500, 0.000) and Pb at (0.000, 0.500, 0.500).

The calculation puts the formation energy from the elements at -491 meV per atom. For the density of states at the Fermi level, the calculation gives 0.848 states/eV/atom. The value obtained for the uncorrected energy is -6.366 eV per atom.

Below is a relaxed structure of CaGdPb, with properties calculated at the PBE-GGA level.

It has space group P3m1 (No. 156), with a = 5.3672 Å, b = 5.3672 Å, c = 3.8289 Å, α = 90.00°, β = 90.00° and γ = 120.00°. Symmetry generates all atoms from Ca at (0.0000, 0.0000, 0.0000), Gd at (0.6667, 0.3333, 0.5435) and Pb at (0.3333, 0.6667, 0.2704).

The calculation puts the formation energy from the elements at -269 meV per atom. For the density of states at the Fermi level, the calculation gives 1.515 states/eV/atom. The value obtained for the uncorrected energy is -6.865 eV per atom.

Below is a relaxed structure of CaGd2Pb, with properties calculated at the PBE-GGA level.

It has space group P4/mmm (No. 123), with a = 4.936 Å, b = 4.936 Å, c = 4.985 Å, α = 90.00°, β = 90.00° and γ = 90.00°. Symmetry generates all atoms from Ca at (0.000, 0.000, 0.000), Gd at (0.000, 0.500, 0.500) and Pb at (0.500, 0.500, 0.000).

The calculation puts the formation energy from the elements at -289 meV per atom. For the density of states at the Fermi level, the calculation gives 1.755 states/eV/atom. The value obtained for the uncorrected energy is -8.757 eV per atom.

Below is a relaxed structure of CaGd2Pb, with properties calculated at the PBE-GGA level.

It has space group Fm-3m (No. 225), with a = 7.896 Å, b = 7.896 Å, c = 7.896 Å, α = 90.00°, β = 90.00° and γ = 90.00°. Symmetry generates all atoms from Ca at (0.000, 0.000, 0.000), Gd at (0.250, 0.250, 0.250) and Pb at (0.000, 0.000, 0.500).

The calculation puts the formation energy from the elements at -162 meV per atom. For the density of states at the Fermi level, the calculation gives 1.813 states/eV/atom. The value obtained for the uncorrected energy is -8.629 eV per atom.

Below is a relaxed structure of CaGd2Pb, with properties calculated at the PBE-GGA level.

It has space group P4/mmm (No. 123), with a = 4.258 Å, b = 4.258 Å, c = 6.949 Å, α = 90.00°, β = 90.00° and γ = 90.00°. Symmetry generates all atoms from Ca at (0.000, 0.000, 0.000), Gd at (0.500, 0.500, 0.273) and Pb at (0.000, 0.000, 0.500).

The calculation puts the formation energy from the elements at -217 meV per atom. For the density of states at the Fermi level, the calculation gives 0.968 states/eV/atom. The value obtained for the uncorrected energy is -8.685 eV per atom.

Below is a relaxed structure of CaGdPb2, with properties calculated at the PBE-GGA level.

It has space group P4/mmm (No. 123), with a = 3.574 Å, b = 3.574 Å, c = 9.155 Å, α = 90.00°, β = 90.00° and γ = 90.00°. Symmetry generates all atoms from Ca at (0.000, 0.000, 0.000), Gd at (0.000, 0.000, 0.500) and Pb at (0.500, 0.500, 0.251).

The calculation puts the formation energy from the elements at -522 meV per atom. For the density of states at the Fermi level, the calculation gives 0.796 states/eV/atom. The value obtained for the uncorrected energy is -6.397 eV per atom.